No. 1
Computed, not measured: a relaxed structure of ZnAs2Se at the PBE level of DFT.

Lattice parameters (Å, degrees): 3.3680 5.2803 8.7275 90.00 90.00 90.00
Space group Immm (No. 71)
Asymmetric unit:
Zn (0.0000, 0.0000, 0.0000) (multiplicity 2)
As (0.0000, 0.5000, 0.2484) (multiplicity 4)
Se (0.0000, 0.0000, 0.5000) (multiplicity 2)

Computed properties:
V   19.40 Å³/atom
Magnetic moment   0.00 μB per formula unit
Energy above the lowest structure with this stoichiometry   495.3 meV per atom
Crystal system   orthorhombic
Density   6.30 g/cm3
Formation energy from raw total energies   0.33 eV/atom

=====

No. 2
Computed, not measured: a relaxed structure of CeYCrN3 at the PBE level of DFT.

Lattice parameters (Å, degrees): 7.2538 3.4166 7.4085 90.00 97.86 90.00
Space group P2_1/m (No. 11)
Asymmetric unit:
Ce (0.1689, 0.2500, 0.1747) (multiplicity 2)
Y (0.3619, 0.7500, 0.8279) (multiplicity 2)
Cr (0.0807, 0.2500, 0.5974) (multiplicity 2)
N (0.1192, 0.2500, 0.8517) (multiplicity 2)
N (0.1631, 0.7500, 0.5251) (multiplicity 2)
N (0.3913, 0.7500, 0.1478) (multiplicity 2)

Computed properties:
V   15.16 Å³/atom
Magnetic moment   0.00 μB per formula unit
Crystal system   monoclinic
Density   5.90 g/cm3
Formation energy from raw total energies   -1.14 eV/atom

=====

No. 3
Computed, not measured: a relaxed structure of Ca9CoP2 at the PBE level of DFT.

Lattice parameters (Å, degrees): 8.7305 19.3737 4.5856 90.00 90.00 90.00
Space group Cmmm (No. 65)
Asymmetric unit:
Ca (0.0000, 0.0000, 0.0000) (multiplicity 2)
Ca (0.0000, 0.2260, 0.5000) (multiplicity 4)
Ca (0.2082, 0.4083, 0.5000) (multiplicity 8)
Ca (0.2500, 0.2500, 0.0000) (multiplicity 4)
Co (0.0000, 0.5000, 0.0000) (multiplicity 2)
P (0.0000, 0.1457, 0.0000) (multiplicity 4)

Computed properties:
V   32.32 Å³/atom
Magnetic moment   0.83 μB per formula unit
Crystal system   orthorhombic
Energy of formation from the pure elements   -0.13 eV per atom
Density   2.06 g/cm3

=====

No. 4
Computed, not measured: a relaxed structure of Y3Sb4Pd8 at the PBE level of DFT.

Lattice parameters (Å, degrees): 13.2761 13.2761 13.2761 90.00 90.00 90.00
Space group Fm-3m (No. 225)
Asymmetric unit:
Y (0.0000, 0.0000, 0.2245) (multiplicity 24)
Sb (0.0000, 0.0000, 0.0000) (multiplicity 4)
Sb (0.0000, 0.0000, 0.5000) (multiplicity 4)
Sb (0.0000, 0.2500, 0.2500) (multiplicity 24)
Pd (0.1187, 0.1187, 0.3813) (multiplicity 32)
Pd (0.1671, 0.1671, 0.1671) (multiplicity 32)

Computed properties:
V   19.50 Å³/atom
Magnetic moment   0.00 μB per formula unit
Crystal system   cubic
Density   9.11 g/cm3
Formation energy from raw total energies   -0.83 eV/atom

=====

No. 5
Computed, not measured: a relaxed structure of Sb2TePb at the PBE level of DFT.

Lattice parameters (Å, degrees): 3.2411 5.7492 6.5396 90.00 94.66 90.00
Space group P2/m (No. 10)
Asymmetric unit:
Sb (0.0159, 0.0000, 0.2288) (multiplicity 2)
Te (0.0000, 0.5000, 0.5000) (multiplicity 1)
Pb (0.5000, 0.5000, 0.0000) (multiplicity 1)

Computed properties:
V   30.36 Å³/atom
Magnetic moment   0.00 μB per formula unit
Energy above the lowest structure with this stoichiometry   263.4 meV per atom
Crystal system   monoclinic
Density   7.91 g/cm3
Formation energy from raw total energies   0.12 eV/atom

=====

No. 6
Computed, not measured: a relaxed structure of Zn2MoRh at the PBE level of DFT.

Lattice parameters (Å, degrees): 2.7719 4.6902 9.1471 90.00 90.00 90.00
Space group Immm (No. 71)
Asymmetric unit:
Zn (0.0000, 0.0000, 0.2404) (multiplicity 4)
Mo (0.0000, 0.5000, 0.0000) (multiplicity 2)
Rh (0.0000, 0.5000, 0.5000) (multiplicity 2)

Computed properties:
V   14.86 Å³/atom
Magnetic moment   0.00 μB per formula unit
Energy above the lowest structure with this stoichiometry   188.3 meV per atom
Crystal system   orthorhombic
Energy of formation from the pure elements   0.03 eV per atom
Density   9.21 g/cm3

=====

No. 7
Computed, not measured: a relaxed structure of SmGe2Au4 at the PBE level of DFT.

Lattice parameters (Å, degrees): 4.5070 13.9122 4.4922 90.00 90.00 90.00
Space group Cmmm (No. 65)
Asymmetric unit:
Sm (0.0000, 0.0000, 0.0000) (multiplicity 2)
Ge (0.0000, 0.4115, 0.5000) (multiplicity 4)
Au (0.0000, 0.1754, 0.5000) (multiplicity 4)
Au (0.0000, 0.3208, 0.0000) (multiplicity 4)

Computed properties:
V   20.12 Å³/atom
Magnetic moment   0.00 μB per formula unit
Energy above the lowest structure with this stoichiometry   0.0 meV per atom
Crystal system   orthorhombic
Energy of formation from the pure elements   -0.38 eV per atom
Density   12.78 g/cm3

=====

> The highest density belongs to which entry?

SmGe2Au4

=====

> What is the formula in the second record?

CeYCrN3

=====

> density of number 1 (ZnAs2Se)?

6.30 g/cm3